DFT (PBE) results for crystalline Na2Li5CdHg2 at its relaxed geometry.

Cell lengths 3.6735, 11.0093, 11.0093 Å; angles 90.00, 90.00, 90.00 degrees
Fractional positions:
1 Na 0.0000 0.6731 0.1731
2 Na 0.0000 0.3269 0.8269
3 Na 0.0000 0.1731 0.3269
4 Na 0.0000 0.8269 0.6731
5 Li 0.5000 0.1940 0.0604
6 Li 0.5000 0.8060 0.9396
7 Li 0.5000 0.0604 0.8060
8 Li 0.5000 0.6940 0.4396
9 Li 0.5000 0.9396 0.1940
10 Li 0.5000 0.3060 0.5604
11 Li 0.5000 0.5604 0.6940
12 Li 0.5000 0.4396 0.3060
13 Li 0.5000 0.5000 0.0000
14 Li 0.5000 0.0000 0.5000
15 Cd 0.0000 0.0000 0.0000
16 Cd 0.0000 0.5000 0.5000
17 Hg 0.0000 0.1275 0.6275
18 Hg 0.0000 0.8725 0.3725
19 Hg 0.0000 0.6275 0.8725
20 Hg 0.0000 0.3725 0.1275

Values from the calculation:
ΔE_f	-181	meV/atom
M_tot	0.00	μB per formula unit
uncorrected energy	-31.07	eV/cell